This record from the Alexandria database describes a geometry-optimized Mo2Ru structure. The functional is PBE.

abc: 6.104 6.104 5.119
angles: 90.00 90.00 90.00
Space group I4/mcm (No. 140)
Inequivalent atoms, fractional coordinates:
Mo: 0.148 0.352 0.000 (multiplicity 8)
Ru: 0.000 0.000 0.250 (multiplicity 4)

Values from the calculation:
* energy above the lowest structure with this stoichiometry: 198.6 meV/atom
* Fermi-level density of states: 1.012 states/eV per atom